Arrangement a

Compound: Li2MnTc
Source: Alexandria via LeMat-Bulk
Functional: PBE-GGA
Structure: relaxed

The structure in POSCAR format:
```
Li2MnTc
1.0
-0.8273 -2.0959 0.8816
1.6483 -1.1990 -1.3039
5.8350 0.5764 6.8461
Mn Tc Li
1 1 2
Direct
0.5000 0.5000 0.2500
0.5000 0.5000 0.7500
0.0000 0.0000 0.4956
0.0000 0.0000 0.0044
```

Properties
SG = P4/mmm, No. 123

=====

Arrangement b

Compound: Li2MnTc
Source: Alexandria via LeMat-Bulk
Functional: PBE-GGA
Structure: relaxed

The structure in POSCAR format:
```
Li2MnTc
1.0
4.3937 -0.0003 -0.0055
3.7069 2.3587 -0.0055
0.1589 0.0462 5.2114
Tc Li Mn
1 2 1
Direct
0.2524 0.2524 0.2873
0.9999 0.9999 0.9853
0.7517 0.7517 0.7631
0.4960 0.4960 0.4644
```

Properties
SG = Cm, No. 8

=====

Quick look at relative energies in meV per atom: arrangement a 102; arrangement b 0.

=====

Arrangement a

Compound: Nb2TlH
Source: Alexandria via LeMat-Bulk
Functional: PBE-GGA
Structure: relaxed

The structure in POSCAR format:
```
Nb2TlH
1.0
2.8815 -2.3533 2.6943
3.2024 2.2214 2.4310
-0.3747 0.2892 4.5690
Tl H Nb
1 1 2
Direct
0.5000 0.5000 0.5000
0.0000 0.0000 0.0000
0.7500 0.7500 0.7500
0.2500 0.2500 0.2500
```

Properties
SG = Fm-3m, No. 225

=====

Arrangement b

Compound: Nb2TlH
Source: Alexandria via LeMat-Bulk
Functional: PBE-GGA
Structure: relaxed

The structure in POSCAR format:
```
Nb2TlH
1.0
-1.6768 -2.7578 0.7589
1.4501 -2.9640 -0.3241
2.1871 -1.5063 6.6016
Nb H Tl
2 1 1
Direct
0.7138 0.7138 0.8587
0.2862 0.2862 0.1413
0.0000 0.0000 0.0000
0.5000 0.5000 0.5000
```

Properties
SG = R-3m, No. 166

=====

Quick look at relative energies in meV per atom: arrangement a 766; arrangement b 0.

=====

Arrangement a

Compound: GeCl2O
Source: Alexandria via LeMat-Bulk
Functional: PBE-GGA
Structure: relaxed

The structure in POSCAR format:
```
GeCl2O
1.0
-1.2904 -2.2392 4.3167
-3.4839 -4.6833 -3.4717
13.1546 -9.1668 -0.8233
Cl Ge O
8 4 4
Direct
0.6558 0.4816 0.1128
0.6547 0.9825 0.8869
0.1558 0.0183 0.3871
0.1546 0.5174 0.6131
0.8454 0.4826 0.3869
0.8442 0.9817 0.6129
0.3453 0.0175 0.1131
0.3442 0.5184 0.8872
0.5006 0.2498 0.1877
0.0006 0.2502 0.3122
0.9994 0.7498 0.6878
0.4994 0.7502 0.8123
0.2494 0.8594 0.7500
0.2506 0.3594 0.2499
0.7494 0.6406 0.7501
0.7506 0.1406 0.2500
```

Properties
SG = P2_1/c, No. 14

=====

Arrangement b

Compound: GeCl2O
Source: Alexandria via LeMat-Bulk
Functional: PBE-GGA
Structure: relaxed

The structure in POSCAR format:
```
GeCl2O
1.0
-4.6196 -0.4501 0.5841
-2.9482 2.3007 -2.8106
-2.5385 -2.3470 -3.1515
O Cl Ge
1 2 1
Direct
0.0000 0.0000 0.0000
0.7500 0.7500 0.7500
0.2500 0.2500 0.2500
0.5000 0.5000 0.5000
```

Properties
SG = Fm-3m, No. 225

=====

Quick look at relative energies in meV per atom: arrangement a 0; arrangement b 1457.

=====

Arrangement a

Compound: Li2FeRu
Source: Alexandria via LeMat-Bulk
Functional: PBE-GGA
Structure: relaxed

The structure in POSCAR format:
```
Li2FeRu
1.0
-0.0143 2.7055 0.5635
-1.3804 0.4811 -2.3453
-6.4336 -0.7889 3.6247
Li Ru Fe
2 1 1
Direct
0.0000 0.0000 0.9700
0.5000 0.5000 0.2724
0.0000 0.0000 0.5320
0.5000 0.5000 0.7257
```

Properties
SG = P4mm, No. 99

=====

Arrangement b

Compound: Li2FeRu
Source: Alexandria via LeMat-Bulk
Functional: PBE-GGA
Structure: relaxed

The structure in POSCAR format:
```
Li2FeRu
1.0
-1.5880 7.1115 -5.8235
-1.4636 5.2138 -7.5948
-3.7055 5.7101 -6.3774
Ru Fe Li
1 1 2
Direct
0.2500 0.2500 0.2500
0.7500 0.7500 0.7500
0.5013 0.5013 0.5013
0.9987 0.9987 0.9987
```

Properties
SG = R-3m, No. 166

=====

Quick look at relative energies in meV per atom: arrangement a 0; arrangement b 9.

=====

Arrangement a

Compound: POs2Br
Source: Alexandria via LeMat-Bulk
Functional: PBE-GGA
Structure: relaxed

The structure in POSCAR format:
```
POs2Br
1.0
4.9995 -0.0204 0.1047
4.1614 2.7710 0.1047
0.5838 0.1753 6.1330
Os P Br
2 1 1
Direct
0.7868 0.7868 0.8276
0.0526 0.0526 0.8692
0.4610 0.4610 0.6176
0.1996 0.1996 0.1856
```

Properties
SG = Cm, No. 8

=====

Arrangement b

Compound: POs2Br
Source: Alexandria via LeMat-Bulk
Functional: PBE-GGA
Structure: relaxed

The structure in POSCAR format:
```
POs2Br
1.0
5.2135 -0.0066 0.0102
1.5963 4.9631 -0.0102
-2.3752 -3.8929 2.5266
Br P Os
1 1 2
Direct
0.2500 0.7500 0.5000
0.7500 0.2500 0.5000
0.9689 0.9689 0.0000
0.5311 0.5311 0.0000
```

Properties
SG = Immm, No. 71

=====

Quick look at relative energies in meV per atom: arrangement a 0; arrangement b 257.

=====

Arrangement a

Compound: LaRh2W
Source: Alexandria via LeMat-Bulk
Functional: PBE-GGA
Structure: relaxed

The structure in POSCAR format:
```
LaRh2W
1.0
4.9750 0.0000 0.0000
0.0000 4.9750 0.0000
0.0000 0.0000 2.9542
W Rh La
1 2 1
Direct
0.5000 0.5000 0.5000
0.5000 0.0000 0.0000
0.0000 0.5000 0.0000
0.0000 0.0000 0.5000
```

Properties
SG = P4/mmm, No. 123

=====

Arrangement b

Compound: LaRh2W
Source: Alexandria via LeMat-Bulk
Functional: PBE-GGA
Structure: relaxed

The structure in POSCAR format:
```
LaRh2W
1.0
-3.8980 2.8004 0.4790
0.2170 -0.2072 2.9769
3.0517 4.0747 1.0124
Rh W La
2 1 1
Direct
0.5000 0.0959 0.3216
0.0000 0.1836 0.9417
0.0000 0.4976 0.4082
0.5000 0.7230 0.8286
```

Properties
SG = Pm, No. 6

=====

Quick look at relative energies in meV per atom: arrangement a 60; arrangement b 0.

=====

Arrangement a

Compound: BC2
Source: Alexandria via LeMat-Bulk
Functional: PBE-GGA
Structure: relaxed

The structure in POSCAR format:
```
BC2
1.0
4.3147 0.0450 -1.1154
2.7703 3.4121 -1.1592
0.2168 0.0411 5.2002
B C
4 8
Direct
0.9559 0.0359 0.9616
0.2855 0.6830 0.2762
0.0066 0.0328 0.5416
0.5705 0.0764 0.3919
0.2836 0.7250 0.7583
0.9247 0.4338 0.5910
0.3092 0.3306 0.1406
0.3510 0.3394 0.6734
0.6664 0.6775 0.8364
0.9059 0.4231 0.0829
0.6754 0.6574 0.3375
0.5653 0.0851 0.9086
```

Properties
SG = P1, No. 1

=====

Arrangement b

Compound: BC2
Source: Alexandria via LeMat-Bulk
Functional: PBE-GGA
Structure: relaxed

The structure in POSCAR format:
```
BC2
1.0
-0.9258 -0.1046 2.4267
-3.1223 -3.1100 -1.3253
4.3584 -4.4935 1.4691
B C
4 8
Direct
0.5000 0.8269 0.3331
0.5000 0.5449 0.0093
0.0000 0.3238 0.3348
0.5000 0.1381 0.9150
0.5000 0.4770 0.2404
0.5000 0.8326 0.5907
0.0000 0.9977 0.2389
0.0000 0.6724 0.6684
0.0000 0.6788 0.9069
0.5000 0.1809 0.6623
0.0000 0.9890 0.0081
0.0000 0.3380 0.5921
```

Properties
SG = Pm, No. 6

=====

Quick look at relative energies in meV per atom: arrangement a 0; arrangement b 7.

=====

Arrangement a

Compound: Sc2WAu
Source: Alexandria via LeMat-Bulk
Functional: PBE-GGA
Structure: relaxed

The structure in POSCAR format:
```
Sc2WAu
1.0
-3.1784 -2.8166 3.4794
-0.9848 -4.7457 2.5789
2.0826 0.2043 4.6355
Au W Sc
1 1 2
Direct
0.2357 0.2357 0.1858
0.5174 0.5174 0.5582
0.9793 0.9793 0.0701
0.7676 0.7676 0.6859
```

Properties
SG = Cm, No. 8

=====

Arrangement b

Compound: Sc2WAu
Source: Alexandria via LeMat-Bulk
Functional: PBE-GGA
Structure: relaxed

The structure in POSCAR format:
```
Sc2WAu
1.0
-1.6771 3.0979 -0.9239
-0.7893 -1.4017 -3.2673
-5.0452 -2.0993 2.1193
Sc Au W
2 1 1
Direct
0.5000 0.5000 0.2825
0.0000 0.0000 0.9766
0.5000 0.5000 0.7613
0.0000 0.0000 0.4796
```

Properties
SG = P4mm, No. 99

=====

Quick look at relative energies in meV per atom: arrangement a 0; arrangement b 168.

=====

Arrangement a

Compound: K2TcBr
Source: Alexandria via LeMat-Bulk
Functional: PBE-GGA
Structure: relaxed

The structure in POSCAR format:
```
K2TcBr
1.0
12.1400 0.0000 0.0000
0.0000 12.1400 0.0000
6.0700 6.0700 2.3722
K Br Tc
4 2 2
Direct
0.3005 0.6250 0.2500
0.8750 0.6995 0.7500
0.4495 0.1250 0.2500
0.3750 0.5505 0.7500
0.2500 0.7500 0.5000
0.5000 0.5000 0.0000
0.0000 0.0000 0.0000
0.7500 0.2500 0.5000
```

Properties
SG = I-42d, No. 122

=====

Arrangement b

Compound: K2TcBr
Source: Alexandria via LeMat-Bulk
Functional: PBE-GGA
Structure: relaxed

The structure in POSCAR format:
```
K2TcBr
1.0
-2.5558 2.6483 4.8409
-4.6814 -3.4331 -1.8106
1.1501 -2.6543 2.0593
Tc K Br
1 2 1
Direct
0.5000 0.0000 0.5000
0.0000 0.0000 0.0000
0.5000 0.5000 0.0000
0.0000 0.5000 0.5000
```

Properties
SG = Cmmm, No. 65

=====

Quick look at relative energies in meV per atom: arrangement a 91; arrangement b 0.